# 1
DFT (PBE) results for a relaxed PmEu2Tl crystal.

Its space-group type is P4/mmm, No. 123. The polymorph energy (0 for the lowest one) comes out at 0 meV/atom. As for the calculated density: 8.344 g/cm³. The total magnetization is 14.4 μB/f.u. The density of states at the Fermi level is 3.01 states/eV/cell. The value obtained for the formation energy is -0.16 eV per atom.

Cell lengths 4.968, 4.968, 5.267 Å; angles 90.00, 90.00, 90.00 degrees
Atoms (fractional coordinates):
Pm (0.000, 0.000, 0.000)
Eu (0.000, 0.500, 0.500)
Eu (0.500, 0.000, 0.500)
Tl (0.500, 0.500, 0.000)

***

# 2
DFT (PBE) results for a relaxed Ce2NbGe2 crystal.

Its space-group type is Ibam, No. 72. As for the calculated density: 6.911 g/cm³. The total magnetization is 1.5 μB/f.u. The density of states at the Fermi level is 24.79 states/eV/cell. The value obtained for the formation energy is -0.41 eV per atom.

Cell lengths 7.423, 7.423, 7.423 Å; angles 116.58, 80.94, 135.24 degrees
Atoms (fractional coordinates):
Ce (0.150, 0.135, 0.286)
Ce (0.350, 0.635, 0.985)
Ce (0.650, 0.365, 0.015)
Ce (0.850, 0.865, 0.714)
Nb (0.250, 0.750, 0.500)
Nb (0.750, 0.250, 0.500)
Ge (0.102, 0.750, 0.852)
Ge (0.398, 0.250, 0.648)
Ge (0.602, 0.750, 0.352)
Ge (0.898, 0.250, 0.148)

***

# 3
DFT (PBE) results for a relaxed V4Cr2Ga crystal.

Its space-group type is R-3m, No. 166. The polymorph energy (0 for the lowest one) comes out at 0 meV/atom. As for the calculated density: 6.871 g/cm³. The total magnetization is 0.0 μB/f.u. The density of states at the Fermi level is 6.46 states/eV/cell. The value obtained for the formation energy is -0.06 eV per atom.

Cell lengths 6.356, 6.356, 6.356 Å; angles 38.96, 38.96, 38.96 degrees
Atoms (fractional coordinates):
V (0.072, 0.072, 0.072)
V (0.223, 0.223, 0.223)
V (0.777, 0.777, 0.777)
V (0.928, 0.928, 0.928)
Cr (0.353, 0.353, 0.353)
Cr (0.647, 0.647, 0.647)
Ga (0.500, 0.500, 0.500)

***

# 4
DFT (PBE) results for a relaxed Pm5Lu3Te12 crystal.

Its space-group type is Ia-3d, No. 230. The energy relative to the elements, uncorrected comes out at -1.0543 eV/atom. As for the calculated density: 6.078 g/cm³. The total magnetization is 0.0 μB/f.u.

Cell lengths 15.805, 15.805, 15.805 Å; angles 109.47, 109.47, 109.47 degrees
Atoms (fractional coordinates):
Pm (0.000, 0.000, 0.000)
Pm (0.000, 0.000, 0.500)
Pm (0.000, 0.500, 0.000)
Pm (0.000, 0.500, 0.500)
Pm (0.125, 0.750, 0.875)
Pm (0.125, 0.875, 0.250)
Pm (0.250, 0.125, 0.875)
Pm (0.250, 0.625, 0.375)
Pm (0.375, 0.250, 0.625)
Pm (0.375, 0.625, 0.750)
Pm (0.500, 0.000, 0.000)
Pm (0.500, 0.000, 0.500)
Pm (0.500, 0.500, 0.000)
Pm (0.500, 0.500, 0.500)
Pm (0.625, 0.375, 0.250)
Pm (0.625, 0.750, 0.375)
Pm (0.750, 0.375, 0.625)
Pm (0.750, 0.875, 0.125)
Pm (0.875, 0.125, 0.750)
Pm (0.875, 0.250, 0.125)
Lu (0.125, 0.250, 0.375)
Lu (0.125, 0.375, 0.750)
Lu (0.250, 0.375, 0.125)
Lu (0.250, 0.875, 0.625)
Lu (0.375, 0.125, 0.250)
Lu (0.375, 0.750, 0.125)
Lu (0.625, 0.250, 0.875)
Lu (0.625, 0.875, 0.750)
Lu (0.750, 0.125, 0.375)
Lu (0.750, 0.625, 0.875)
Lu (0.875, 0.625, 0.250)
Lu (0.875, 0.750, 0.625)
Te (0.056, 0.230, 0.129)
Te (0.056, 0.326, 0.927)
Te (0.073, 0.629, 0.399)
Te (0.073, 0.944, 0.674)
Te (0.101, 0.730, 0.674)
Te (0.101, 0.871, 0.427)
Te (0.129, 0.056, 0.230)
Te (0.129, 0.573, 0.899)
Te (0.174, 0.230, 0.601)
Te (0.174, 0.444, 0.573)
Te (0.230, 0.129, 0.056)
Te (0.230, 0.601, 0.174)
Te (0.270, 0.326, 0.899)
Te (0.270, 0.444, 0.371)
Te (0.326, 0.899, 0.270)
Te (0.326, 0.927, 0.056)
Te (0.371, 0.270, 0.444)
Te (0.371, 0.601, 0.927)
Te (0.399, 0.073, 0.629)
Te (0.399, 0.826, 0.770)
Te (0.427, 0.101, 0.871)
Te (0.427, 0.826, 0.556)
Te (0.444, 0.371, 0.270)
Te (0.444, 0.573, 0.174)
Te (0.556, 0.427, 0.826)
Te (0.556, 0.629, 0.730)
Te (0.573, 0.174, 0.444)
Te (0.573, 0.899, 0.129)
Te (0.601, 0.174, 0.230)
Te (0.601, 0.927, 0.371)
Te (0.629, 0.399, 0.073)
Te (0.629, 0.730, 0.556)
Te (0.674, 0.073, 0.944)
Te (0.674, 0.101, 0.730)
Te (0.730, 0.556, 0.629)
Te (0.730, 0.674, 0.101)
Te (0.770, 0.399, 0.826)
Te (0.770, 0.871, 0.944)
Te (0.826, 0.556, 0.427)
Te (0.826, 0.770, 0.399)
Te (0.871, 0.427, 0.101)
Te (0.871, 0.944, 0.770)
Te (0.899, 0.129, 0.573)
Te (0.899, 0.270, 0.326)
Te (0.927, 0.056, 0.326)
Te (0.927, 0.371, 0.601)
Te (0.944, 0.674, 0.073)
Te (0.944, 0.770, 0.871)

***

# 5
DFT (PBE) results for a relaxed La5Dy3Y crystal.

Its space-group type is C2/c, No. 15. As for the calculated density: 6.498 g/cm³. The total magnetization is 0.0 μB/f.u. The density of states at the Fermi level is 26.47 states/eV/cell. The value obtained for the formation energy is 0.26 eV per atom.

Cell lengths 10.751, 10.751, 11.795 Å; angles 121.45, 121.45, 34.68 degrees
Atoms (fractional coordinates):
La (0.038, 0.680, 0.335)
La (0.088, 0.912, 0.750)
La (0.141, 0.498, 0.666)
La (0.320, 0.962, 0.165)
La (0.498, 0.141, 0.166)
La (0.502, 0.859, 0.834)
La (0.680, 0.038, 0.835)
La (0.859, 0.502, 0.334)
La (0.912, 0.088, 0.250)
La (0.962, 0.320, 0.665)
Dy (0.095, 0.557, 0.979)
Dy (0.443, 0.905, 0.521)
Dy (0.500, 0.500, 0.000)
Dy (0.500, 0.500, 0.500)
Dy (0.557, 0.095, 0.479)
Dy (0.905, 0.443, 0.021)
Y (0.398, 0.602, 0.250)
Y (0.602, 0.398, 0.750)

***

# 6
DFT (PBE) results for a relaxed BaNaCa4 crystal.

Its space-group type is P4/mmm, No. 123. The polymorph energy (0 for the lowest one) comes out at 0 meV/atom. As for the calculated density: 1.995 g/cm³. The total magnetization is 0.0 μB/f.u. The density of states at the Fermi level is 7.29 states/eV/cell. The value obtained for the formation energy is 0.05 eV per atom.

Cell lengths 3.951, 3.951, 17.093 Å; angles 90.00, 90.00, 90.00 degrees
Atoms (fractional coordinates):
Ba (0.000, 0.000, 0.000)
Na (0.500, 0.500, 0.500)
Ca (0.000, 0.000, 0.350)
Ca (0.000, 0.000, 0.650)
Ca (0.500, 0.500, 0.188)
Ca (0.500, 0.500, 0.812)

***

# 7
DFT (PBE) results for a relaxed SrMg2Rh2 crystal.

Its space-group type is P4/mbm, No. 127. The polymorph energy (0 for the lowest one) comes out at 4 meV/atom. As for the calculated density: 5.887 g/cm³. The total magnetization is 0.0 μB/f.u. The density of states at the Fermi level is 3.37 states/eV/cell. The value obtained for the formation energy is -0.32 eV per atom.

Cell lengths 7.860, 7.860, 3.123 Å; angles 90.00, 90.00, 90.00 degrees
Atoms (fractional coordinates):
Sr (0.000, 0.000, 0.000)
Sr (0.500, 0.500, 0.000)
Mg (0.135, 0.365, 0.500)
Mg (0.365, 0.865, 0.500)
Mg (0.635, 0.135, 0.500)
Mg (0.865, 0.635, 0.500)
Rh (0.155, 0.655, 0.000)
Rh (0.345, 0.155, 0.000)
Rh (0.655, 0.845, 0.000)
Rh (0.845, 0.345, 0.000)

***

# 8
DFT (PBE) results for a relaxed Cs2TiBr crystal.

Its space-group type is Fm-3m, No. 225. The polymorph energy (0 for the lowest one) comes out at 21 meV/atom. The energy relative to the elements, uncorrected comes out at 0.1830 eV/atom. As for the calculated density: 3.163 g/cm³. The total magnetization is 3.0 μB/f.u. The density of states at the Fermi level is 0.00 states/eV/cell.

Cell lengths 6.636, 6.636, 6.636 Å; angles 60.00, 60.00, 60.00 degrees
Atoms (fractional coordinates):
Cs (0.250, 0.250, 0.250)
Cs (0.750, 0.750, 0.750)
Ti (0.000, 0.000, 0.000)
Br (0.500, 0.500, 0.500)

***

# 9
DFT (PBE) results for a relaxed Sn3RuF crystal.

Its space-group type is Pm-3m, No. 221. The polymorph energy (0 for the lowest one) comes out at 508 meV/atom. The energy relative to the elements, uncorrected comes out at 0.1495 eV/atom. As for the calculated density: 7.261 g/cm³. The total magnetization is 0.6 μB/f.u. The density of states at the Fermi level is 3.54 states/eV/cell.

Cell lengths 4.775, 4.775, 4.775 Å; angles 90.00, 90.00, 90.00 degrees
Atoms (fractional coordinates):
Sn (0.000, 0.000, 0.500)
Sn (0.000, 0.500, 0.000)
Sn (0.500, 0.000, 0.000)
Ru (0.500, 0.500, 0.500)
F (0.000, 0.000, 0.000)

***

# 10
DFT (PBE) results for a relaxed CoPSe2 crystal.

Its space-group type is Amm2, No. 38. The energy relative to the elements, uncorrected comes out at -0.0405 eV/atom. As for the calculated density: 6.179 g/cm³. The total magnetization is 0.0 μB/f.u. The density of states at the Fermi level is 2.52 states/eV/cell.

Cell lengths 3.425, 4.768, 4.768 Å; angles 58.79, 90.00, 90.00 degrees
Atoms (fractional coordinates):
Co (0.000, 0.000, 0.000)
P (0.500, 0.175, 0.175)
Se (0.000, 0.462, 0.462)
Se (0.500, 0.795, 0.795)

***

# 11
DFT (PBE) results for a relaxed MgZrP3 crystal.

Its space-group type is Pm-3m, No. 221. The polymorph energy (0 for the lowest one) comes out at 0 meV/atom. As for the calculated density: 2.766 g/cm³. The total magnetization is 0.0 μB/f.u. The density of states at the Fermi level is 3.57 states/eV/cell. The value obtained for the formation energy is 0.23 eV per atom.

Cell lengths 5.002, 5.002, 5.002 Å; angles 90.00, 90.00, 90.00 degrees
Atoms (fractional coordinates):
Mg (0.000, 0.000, 0.000)
Zr (0.500, 0.500, 0.500)
P (0.000, 0.500, 0.500)
P (0.500, 0.000, 0.500)
P (0.500, 0.500, 0.000)

***

# 12
DFT (PBE) results for a relaxed YReI3 crystal.

Its space-group type is Pm-3m, No. 221. The polymorph energy (0 for the lowest one) comes out at 0 meV/atom. The energy relative to the elements, uncorrected comes out at 0.5038 eV/atom. As for the calculated density: 4.974 g/cm³. The total magnetization is 5.0 μB/f.u. The density of states at the Fermi level is 1.74 states/eV/cell.

Cell lengths 6.027, 6.027, 6.027 Å; angles 90.00, 90.00, 90.00 degrees
Atoms (fractional coordinates):
Y (0.000, 0.000, 0.000)
Re (0.500, 0.500, 0.500)
I (0.000, 0.000, 0.500)
I (0.000, 0.500, 0.000)
I (0.500, 0.000, 0.000)